A.
# Cu2SiPb2

A relaxed Cu2SiPb2 crystal (PBE, Alexandria).

abc: 8.201 8.201 3.158
angles: 90.00 90.00 90.00
Sites, in units of the cell vectors:
Cu  0.106  0.394  0.000
Cu  0.394  0.894  0.000
Cu  0.606  0.106  0.000
Cu  0.894  0.606  0.000
Si  0.000  0.000  0.500
Si  0.500  0.500  0.500
Pb  0.188  0.688  0.500
Pb  0.312  0.188  0.500
Pb  0.688  0.812  0.500
Pb  0.812  0.312  0.500

Output
magnetic moment	0.00	μB per formula unit
calculated density	8.91	Mg/m³
volume	21.2	Å³ per atom

=====

B.
# Cu2SiPb2

A relaxed Cu2SiPb2 crystal (PBE, Alexandria).

abc: 8.999 8.999 8.999
angles: 157.56 157.56 31.95
Sites, in units of the cell vectors:
Cu  0.250  0.750  0.500
Cu  0.750  0.250  0.500
Si  0.000  0.000  0.000
Pb  0.389  0.389  0.000
Pb  0.611  0.611  0.000

Output
magnetic moment	0.00	μB per formula unit
calculated density	8.91	Mg/m³
volume	21.2	Å³ per atom

=====

Which structure is most stable, and how do the rest compare? From most to least stable: B, A.

=====

A.
# SmCuPb2

A relaxed SmCuPb2 crystal (PBE, Alexandria).

abc: 4.719 4.719 4.533
angles: 90.00 90.00 90.00
Sites, in units of the cell vectors:
Sm  0.000  0.000  0.000
Cu  0.500  0.500  0.000
Pb  0.000  0.500  0.500
Pb  0.500  0.000  0.500

Output
magnetic moment	0.00	μB per formula unit
calculated density	10.34	Mg/m³
volume	25.2	Å³ per atom

=====

B.
# SmCuPb2

A relaxed SmCuPb2 crystal (PBE, Alexandria).

abc: 10.653 10.653 10.653
angles: 19.05 19.05 19.05
Sites, in units of the cell vectors:
Sm  0.000  0.000  0.000
Cu  0.500  0.500  0.500
Pb  0.103  0.103  0.103
Pb  0.897  0.897  0.897

Output
magnetic moment	0.00	μB per formula unit
calculated density	9.27	Mg/m³
volume	28.1	Å³ per atom

=====

Which structure is most stable, and how do the rest compare? From most to least stable: A, B.

=====

A.
# Cu2SnPb2

A relaxed Cu2SnPb2 crystal (PBE, Alexandria).

abc: 7.124 7.124 4.435
angles: 90.00 90.00 90.00
Sites, in units of the cell vectors:
Cu  0.125  0.375  0.000
Cu  0.375  0.875  0.000
Cu  0.625  0.125  0.000
Cu  0.875  0.625  0.000
Sn  0.000  0.000  0.000
Sn  0.500  0.500  0.000
Pb  0.170  0.670  0.500
Pb  0.330  0.170  0.500
Pb  0.670  0.830  0.500
Pb  0.830  0.330  0.500

Output
magnetic moment	0.00	μB per formula unit
calculated density	9.74	Mg/m³
volume	22.5	Å³ per atom

=====

B.
# Cu2SnPb2

A relaxed Cu2SnPb2 crystal (PBE, Alexandria).

abc: 8.563 8.563 3.177
angles: 90.00 90.00 90.00
Sites, in units of the cell vectors:
Cu  0.105  0.395  0.000
Cu  0.395  0.895  0.000
Cu  0.605  0.105  0.000
Cu  0.895  0.605  0.000
Sn  0.000  0.000  0.500
Sn  0.500  0.500  0.500
Pb  0.179  0.679  0.500
Pb  0.321  0.179  0.500
Pb  0.679  0.821  0.500
Pb  0.821  0.321  0.500

Output
magnetic moment	0.00	μB per formula unit
calculated density	9.41	Mg/m³
volume	23.3	Å³ per atom

=====

C.
# Cu2SnPb2

A relaxed Cu2SnPb2 crystal (PBE, Alexandria).

abc: 6.426 6.426 6.426
angles: 137.15 137.15 62.21
Sites, in units of the cell vectors:
Cu  0.107  0.107  0.000
Cu  0.893  0.893  0.000
Sn  0.500  0.500  0.000
Pb  0.250  0.750  0.500
Pb  0.750  0.250  0.500

Output
magnetic moment	0.00	μB per formula unit
calculated density	9.04	Mg/m³
volume	24.3	Å³ per atom

=====

D.
# Cu2SnPb2

A relaxed Cu2SnPb2 crystal (PBE, Alexandria).

abc: 9.791 9.791 9.791
angles: 159.30 159.30 29.44
Sites, in units of the cell vectors:
Cu  0.250  0.750  0.500
Cu  0.750  0.250  0.500
Sn  0.000  0.000  0.000
Pb  0.374  0.374  0.000
Pb  0.626  0.626  0.000

Output
magnetic moment	0.00	μB per formula unit
calculated density	9.35	Mg/m³
volume	23.4	Å³ per atom

=====

Which structure is most stable, and how do the rest compare? From most to least stable: A, D, B, C.

=====

A.
# TaCuPb3

A relaxed TaCuPb3 crystal (PBE, Alexandria).

abc: 5.512 5.512 5.512
angles: 90.00 90.00 90.00
Sites, in units of the cell vectors:
Ta  0.000  0.000  0.000
Cu  0.500  0.500  0.500
Pb  0.000  0.000  0.500
Pb  0.000  0.500  0.000
Pb  0.500  0.000  0.000

Output
magnetic moment	0.00	μB per formula unit
calculated density	8.59	Mg/m³
volume	33.5	Å³ per atom

=====

B.
# TaCuPb3

A relaxed TaCuPb3 crystal (PBE, Alexandria).

abc: 5.140 5.140 5.140
angles: 90.00 90.00 90.00
Sites, in units of the cell vectors:
Ta  0.000  0.000  0.000
Cu  0.500  0.500  0.500
Pb  0.000  0.500  0.500
Pb  0.500  0.000  0.500
Pb  0.500  0.500  0.000

Output
magnetic moment	0.00	μB per formula unit
calculated density	10.59	Mg/m³
volume	27.2	Å³ per atom

=====

Which structure is most stable, and how do the rest compare? From most to least stable: A, B.